## Ba3DyTa2O9 (PBE-GGA)

Data for a geometry-optimized Ba3DyTa2O9 structure.

```
data_Ba3DyTa2O9
_chemical_formula_sum 'Ba3 Dy1 Ta2 O9'
_space_group_name_H-M_alt 'P -3 m 1'
_space_group_IT_number 164
_space_group_name_Hall '-P 3 2"'
_cell_length_a 5.9689
_cell_length_b 5.9689
_cell_length_c 7.3223
_cell_angle_alpha 90.00
_cell_angle_beta 90.00
_cell_angle_gamma 120.00
loop_
_atom_site_label
_atom_site_fract_x
_atom_site_fract_y
_atom_site_fract_z
_atom_site_occupancy
Ba1 0.0000 0.0000 0.0000 1
Ba2 0.3333 0.6667 0.6682 1
Dy1 0.0000 0.0000 0.5000 1
Ta1 0.3333 0.6667 0.1628 1
O1 0.0000 0.5000 0.0000 1
O2 0.1754 0.3508 0.3182 1
```

Calculated values
D(E_F)   0.224 states/eV/atom
Volume   15.06 A^3/atom
Formation energy (no corrections)   -3.05 eV per atom